Computed, not measured: a relaxed Na3Bi2Au4 crystal at the GGA-PBE level of DFT.

**Energy above the lowest structure with this stoichiometry**: 0.008 eV/atom
**DFT formation energy**: -2.30 eV/f.u.

a = 5.863 Å, b = 5.863 Å, c = 9.272 Å
α = 120.79°, β = 120.79°, γ = 50.79°
Sites, in units of the cell vectors:
Na1 0.000 0.000 0.000
Na2 0.008 0.008 0.673
Na3 0.992 0.992 0.327
Bi1 0.334 0.334 0.726
Bi2 0.666 0.666 0.274
Au1 0.328 0.328 0.054
Au2 0.337 0.337 0.387
Au3 0.663 0.663 0.613
Au4 0.672 0.672 0.946


Computed, not measured: a relaxed MgCu2Se4 crystal at the GGA-PBE level of DFT.

**Energy above the lowest structure with this stoichiometry**: 0.199 eV/atom

a = 6.358 Å, b = 6.358 Å, c = 6.358 Å
α = 97.68°, β = 97.68°, γ = 137.12°
Sites, in units of the cell vectors:
Mg1 0.000 0.000 0.000
Cu1 0.250 0.750 0.500
Cu2 0.750 0.250 0.500
Se1 0.257 0.500 0.757
Se2 0.500 0.257 0.757
Se3 0.500 0.743 0.243
Se4 0.743 0.500 0.243


Computed, not measured: a relaxed LiZn2As crystal at the GGA-PBE level of DFT.

**DFT formation energy**: -0.60 eV/f.u.

a = 4.944 Å, b = 4.944 Å, c = 4.944 Å
α = 132.53°, β = 132.53°, γ = 69.39°
Sites, in units of the cell vectors:
Li1 0.000 0.000 0.000
Zn1 0.250 0.750 0.500
Zn2 0.500 0.500 0.000
As1 0.750 0.250 0.500


Computed, not measured: a relaxed Rb2SiGeI6 crystal at the GGA-PBE level of DFT.

a = 8.333 Å, b = 8.333 Å, c = 8.333 Å
α = 119.97°, β = 119.97°, γ = 90.06°
Sites, in units of the cell vectors:
Rb1 0.250 0.750 0.500
Rb2 0.750 0.250 0.500
Si1 0.000 0.000 0.000
Ge1 0.500 0.500 0.000
I1 0.247 0.247 0.000
I2 0.247 0.247 0.493
I3 0.247 0.753 0.000
I4 0.753 0.247 0.000
I5 0.753 0.753 0.000
I6 0.753 0.753 0.507


Computed, not measured: a relaxed Li3Ag3Sn2 crystal at the GGA-PBE level of DFT.

**Energy above the lowest structure with this stoichiometry**: 0.017 eV/atom
**DFT formation energy**: -2.19 eV/f.u.

a = 8.125 Å, b = 8.125 Å, c = 8.125 Å
α = 33.50°, β = 33.50°, γ = 33.50°
Sites, in units of the cell vectors:
Li1 0.000 0.000 0.000
Li2 0.127 0.127 0.127
Li3 0.504 0.504 0.504
Ag1 0.250 0.250 0.250
Ag2 0.629 0.629 0.629
Ag3 0.754 0.754 0.754
Sn1 0.378 0.378 0.378
Sn2 0.876 0.876 0.876


Computed, not measured: a relaxed Hf2TiS3 crystal at the GGA-PBE level of DFT.

a = 5.859 Å, b = 5.859 Å, c = 6.738 Å
α = 90.00°, β = 90.00°, γ = 60.12°
Sites, in units of the cell vectors:
Hf1 0.005 0.333 0.250
Hf2 0.333 0.005 0.750
Hf3 0.667 0.995 0.250
Hf4 0.995 0.667 0.750
Ti1 0.328 0.672 0.250
Ti2 0.672 0.328 0.750
S1 0.000 0.000 0.000
S2 0.000 0.000 0.500
S3 0.341 0.341 0.000
S4 0.341 0.341 0.500
S5 0.659 0.659 0.000
S6 0.659 0.659 0.500


Computed, not measured: a relaxed Zr2Ge2W crystal at the GGA-PBE level of DFT.

**Energy above the lowest structure with this stoichiometry**: 0.649 eV/atom
**DFT formation energy**: 0.31 eV/f.u.

a = 8.291 Å, b = 8.291 Å, c = 8.291 Å
α = 155.40°, β = 155.40°, γ = 35.07°
Sites, in units of the cell vectors:
Zr1 0.100 0.100 0.000
Zr2 0.900 0.900 0.000
Ge1 0.250 0.750 0.500
Ge2 0.750 0.250 0.500
W1 0.500 0.500 0.000


Computed, not measured: a relaxed KScAgS2 crystal at the GGA-PBE level of DFT.

**Energy above the lowest structure with this stoichiometry**: 0.000 eV/atom

a = 7.246 Å, b = 5.039 Å, c = 7.151 Å
α = 90.00°, β = 99.39°, γ = 90.00°
Sites, in units of the cell vectors:
K1 0.000 0.145 0.250
K2 0.000 0.855 0.750
Sc1 0.500 0.495 0.750
Sc2 0.500 0.505 0.250
Ag1 0.500 0.000 0.000
Ag2 0.500 0.000 0.500
S1 0.264 0.378 0.962
S2 0.264 0.622 0.462
S3 0.736 0.378 0.538
S4 0.736 0.622 0.038


Computed, not measured: a relaxed NiAg2Ru crystal at the GGA-PBE level of DFT.

**Energy above the lowest structure with this stoichiometry**: 0.272 eV/atom
**DFT formation energy**: 2.15 eV/f.u.

a = 4.437 Å, b = 4.437 Å, c = 4.437 Å
α = 60.00°, β = 60.00°, γ = 60.00°
Sites, in units of the cell vectors:
Ni1 0.000 0.000 0.000
Ag1 0.250 0.250 0.250
Ag2 0.500 0.500 0.500
Ru1 0.750 0.750 0.750


Computed, not measured: a relaxed Cu2SiMo crystal at the GGA-PBE level of DFT.

a = 4.827 Å, b = 4.827 Å, c = 2.615 Å
α = 90.00°, β = 90.00°, γ = 117.41°
Sites, in units of the cell vectors:
Cu1 0.000 0.500 0.000
Cu2 0.500 0.000 0.000
Si1 0.000 0.000 0.500
Mo1 0.500 0.500 0.500


Computed, not measured: a relaxed Pm3Y2PuN6 crystal at the GGA-PBE level of DFT.

a = 6.114 Å, b = 6.114 Å, c = 6.141 Å
α = 99.58°, β = 99.58°, γ = 119.95°
Sites, in units of the cell vectors:
Pm1 0.000 0.000 0.000
Pm2 0.333 0.667 0.000
Pm3 0.667 0.333 0.000
Y1 0.166 0.834 0.500
Y2 0.834 0.166 0.500
Pu1 0.500 0.500 0.500
N1 0.099 0.422 0.265
N2 0.255 0.255 0.736
N3 0.422 0.099 0.265
N4 0.578 0.901 0.735
N5 0.745 0.745 0.264
N6 0.901 0.578 0.735


Computed, not measured: a relaxed Ca2Mg12AlZn3 crystal at the GGA-PBE level of DFT.

**DFT formation energy**: 2.34 eV/f.u.

a = 7.633 Å, b = 7.633 Å, c = 7.633 Å
α = 84.31°, β = 84.31°, γ = 84.31°
Sites, in units of the cell vectors:
Ca1 0.125 0.125 0.125
Ca2 0.875 0.875 0.875
Mg1 0.120 0.120 0.572
Mg2 0.120 0.572 0.120
Mg3 0.206 0.686 0.686
Mg4 0.314 0.314 0.794
Mg5 0.314 0.794 0.314
Mg6 0.428 0.880 0.880
Mg7 0.572 0.120 0.120
Mg8 0.686 0.206 0.686
Mg9 0.686 0.686 0.206
Mg10 0.794 0.314 0.314
Mg11 0.880 0.428 0.880
Mg12 0.880 0.880 0.428
Al1 0.500 0.500 0.500
Zn1 0.000 0.500 0.500
Zn2 0.500 0.000 0.500
Zn3 0.500 0.500 0.000


Computed, not measured: a relaxed RbZn2Au crystal at the GGA-PBE level of DFT.

**Energy above the lowest structure with this stoichiometry**: 0.147 eV/atom
**DFT formation energy**: -0.25 eV/f.u.

a = 9.352 Å, b = 9.352 Å, c = 9.352 Å
α = 145.39°, β = 145.39°, γ = 49.75°
Sites, in units of the cell vectors:
Rb1 0.375 0.625 0.750
Rb2 0.625 0.375 0.250
Zn1 0.000 0.000 0.000
Zn2 0.000 0.000 0.500
Zn3 0.000 0.500 0.000
Zn4 0.500 0.000 0.500
Au1 0.125 0.875 0.250
Au2 0.875 0.125 0.750


Computed, not measured: a relaxed LiGdYAg crystal at the GGA-PBE level of DFT.

**DFT formation energy**: -0.40 eV/f.u.

a = 5.195 Å, b = 5.195 Å, c = 5.195 Å
α = 60.00°, β = 60.00°, γ = 60.00°
Sites, in units of the cell vectors:
Li1 0.000 0.000 0.000
Gd1 0.750 0.750 0.750
Y1 0.250 0.250 0.250
Ag1 0.500 0.500 0.500


Computed, not measured: a relaxed CaLaAgBi2 crystal at the GGA-PBE level of DFT.

**DFT formation energy**: 0.12 eV/f.u.

a = 5.731 Å, b = 5.731 Å, c = 5.310 Å
α = 90.00°, β = 90.00°, γ = 90.00°
Sites, in units of the cell vectors:
Ca1 0.000 0.000 0.000
La1 0.500 0.500 0.500
Ag1 0.000 0.000 0.500
Bi1 0.000 0.500 0.000
Bi2 0.500 0.000 0.000


Computed, not measured: a relaxed Pr3Nd4Ho3 crystal at the GGA-PBE level of DFT.

**DFT formation energy**: 1.18 eV/f.u.

a = 3.830 Å, b = 9.517 Å, c = 9.517 Å
α = 89.38°, β = 90.00°, γ = 90.00°
Sites, in units of the cell vectors:
Pr1 0.000 0.000 0.000
Pr2 0.000 0.499 0.839
Pr3 0.000 0.839 0.499
Nd1 0.500 0.042 0.302
Nd2 0.500 0.302 0.042
Nd3 0.500 0.537 0.537
Nd4 0.500 0.801 0.801
Ho1 0.000 0.340 0.340
Ho2 0.500 0.173 0.664
Ho3 0.500 0.664 0.173


Computed, not measured: a relaxed K2SrAg9 crystal at the GGA-PBE level of DFT.

**DFT formation energy**: -0.89 eV/f.u.

a = 10.290 Å, b = 10.290 Å, c = 10.290 Å
α = 32.72°, β = 32.72°, γ = 32.72°
Sites, in units of the cell vectors:
K1 0.144 0.144 0.144
K2 0.856 0.856 0.856
Sr1 0.000 0.000 0.000
Ag1 0.083 0.579 0.579
Ag2 0.332 0.332 0.332
Ag3 0.421 0.421 0.917
Ag4 0.421 0.917 0.421
Ag5 0.500 0.500 0.500
Ag6 0.579 0.083 0.579
Ag7 0.579 0.579 0.083
Ag8 0.668 0.668 0.668
Ag9 0.917 0.421 0.421


Computed, not measured: a relaxed LiCaPr2 crystal at the GGA-PBE level of DFT.

**Energy above the lowest structure with this stoichiometry**: 0.000 eV/atom
**DFT formation energy**: 0.29 eV/f.u.

a = 9.735 Å, b = 9.735 Å, c = 9.735 Å
α = 147.48°, β = 147.48°, γ = 46.65°
Sites, in units of the cell vectors:
Li1 0.250 0.750 0.500
Li2 0.750 0.250 0.500
Ca1 0.147 0.147 0.000
Ca2 0.853 0.853 0.000
Pr1 0.000 0.500 0.500
Pr2 0.367 0.367 0.000
Pr3 0.500 0.000 0.500
Pr4 0.633 0.633 0.000


Computed, not measured: a relaxed CaAl2Pt2 crystal at the GGA-PBE level of DFT.

**DFT formation energy**: -5.21 eV/f.u.

a = 6.398 Å, b = 6.398 Å, c = 6.398 Å
α = 142.73°, β = 142.73°, γ = 53.73°
Sites, in units of the cell vectors:
Ca1 0.000 0.000 0.000
Al1 0.250 0.750 0.500
Al2 0.750 0.250 0.500
Pt1 0.379 0.379 0.000
Pt2 0.621 0.621 0.000


Computed, not measured: a relaxed SbTeRu2 crystal at the GGA-PBE level of DFT.

a = 4.440 Å, b = 4.440 Å, c = 5.609 Å
α = 102.25°, β = 102.25°, γ = 42.93°
Sites, in units of the cell vectors:
Sb1 0.000 0.000 0.000
Te1 0.500 0.500 0.500
Ru1 0.251 0.251 0.751
Ru2 0.749 0.749 0.249


Computed, not measured: a relaxed Pu2Tl3CuTe6 crystal at the GGA-PBE level of DFT.

a = 7.558 Å, b = 7.558 Å, c = 8.468 Å
α = 98.91°, β = 98.91°, γ = 119.45°
Sites, in units of the cell vectors:
Pu1 0.165 0.835 0.000
Pu2 0.835 0.165 0.000
Tl1 0.000 0.000 0.500
Tl2 0.323 0.677 0.500
Tl3 0.677 0.323 0.500
Cu1 0.500 0.500 0.000
Te1 0.121 0.433 0.800
Te2 0.244 0.244 0.218
Te3 0.433 0.121 0.800
Te4 0.567 0.879 0.200
Te5 0.756 0.756 0.782
Te6 0.879 0.567 0.200


Computed, not measured: a relaxed Mo2SeCl crystal at the GGA-PBE level of DFT.

**Energy above the lowest structure with this stoichiometry**: 0.782 eV/atom

a = 3.175 Å, b = 3.175 Å, c = 8.301 Å
α = 90.00°, β = 90.00°, γ = 124.08°
Sites, in units of the cell vectors:
Mo1 0.000 0.000 0.241
Mo2 0.000 0.000 0.759
Se1 0.500 0.500 0.000
Cl1 0.500 0.500 0.500


Computed, not measured: a relaxed La2Tb8Th crystal at the GGA-PBE level of DFT.

**DFT formation energy**: 0.35 eV/f.u.

a = 9.512 Å, b = 9.512 Å, c = 8.045 Å
α = 104.62°, β = 104.62°, γ = 31.09°
Sites, in units of the cell vectors:
La1 0.228 0.228 0.136
La2 0.772 0.772 0.864
Tb1 0.043 0.043 0.232
Tb2 0.133 0.133 0.673
Tb3 0.321 0.321 0.594
Tb4 0.412 0.412 0.050
Tb5 0.588 0.588 0.950
Tb6 0.679 0.679 0.406
Tb7 0.867 0.867 0.327
Tb8 0.957 0.957 0.768
Th1 0.500 0.500 0.500


Computed, not measured: a relaxed MgAlBr crystal at the GGA-PBE level of DFT.

**Energy above the lowest structure with this stoichiometry**: 0.433 eV/atom

a = 5.055 Å, b = 5.055 Å, c = 5.055 Å
α = 60.00°, β = 60.00°, γ = 60.00°
Sites, in units of the cell vectors:
Mg1 0.000 0.000 0.000
Al1 0.750 0.750 0.750
Br1 0.250 0.250 0.250


Number 1: uncorrected energy -3.01 eV/atom. Number 2: uncorrected energy -3.41 eV/atom. Number 3: uncorrected energy -2.43 eV/atom. Number 4: uncorrected energy -2.82 eV/atom. Number 5: uncorrected energy -3.06 eV/atom. Number 6: uncorrected energy -7.92 eV/atom. Number 7: uncorrected energy -7.80 eV/atom. Number 8: uncorrected energy -4.78 eV/atom. Number 9: uncorrected energy -4.65 eV/atom. Number 10: uncorrected energy -5.99 eV/atom. Number 11: uncorrected energy -9.11 eV/atom. Number 12: uncorrected energy -1.58 eV/atom. Number 13: uncorrected energy -1.76 eV/atom. Number 14: uncorrected energy -6.43 eV/atom. Number 15: uncorrected energy -3.48 eV/atom. Number 16: uncorrected energy -4.60 eV/atom. Number 17: uncorrected energy -2.54 eV/atom. Number 18: uncorrected energy -3.29 eV/atom. Number 19: uncorrected energy -5.36 eV/atom. Number 20: uncorrected energy -6.25 eV/atom. Number 21: uncorrected energy -5.39 eV/atom. Number 22: uncorrected energy -6.16 eV/atom. Number 23: uncorrected energy -4.91 eV/atom. Number 24: uncorrected energy -2.16 eV/atom.